Material: AcMg2WN4
Method: DFT, PBE-GGA
State: optimized geometry

Its density of states at the Fermi level is 9.016 states/eV per cell. The total DFT energy (no corrections) is -7.375 eV/atom. Its formation energy from raw total energies is -5.45 eV per formula unit.

The space group is Cmcm (No. 63) and the conventional cell measures 3.4081, 12.5120 and 10.8594 Å, with angles of 90.00, 90.00 and 90.00 degrees. The distinct sites, in fractional coordinates, are Ac at (0.0000, 0.0640, 0.2500), Mg at (0.0000, 0.3928, 0.0305), W at (0.0000, 0.1991, 0.7500), N at (0.0000, 0.0000, 0.0000), N at (0.0000, 0.2886, 0.6187) and N at (0.0000, 0.3968, 0.2500).